Compound: SrZrMoO6
Source: the Alexandria database
Functional: GGA+U
Structure: optimized geometry

E: -7.672 eV per atom
V: 14.13 Å³ per atom
N(E_F): 0.00 states/eV/cell
magnetic moment: 0.00 μB per cell
space-group type: P4_2nm

a = 5.055 Å, b = 5.055 Å, c = 9.955 Å
α = 90.00°, β = 90.00°, γ = 90.00°
Positions (direct):
Sr: 0.500 0.500 0.499
Sr: 0.000 0.000 0.999
Zr: 0.500 0.500 0.834
Zr: 0.000 0.000 0.334
Mo: 0.500 0.500 0.167
Mo: 0.000 0.000 0.667
O: 0.169 0.831 0.511
O: 0.831 0.169 0.511
O: 0.331 0.331 0.011
O: 0.669 0.669 0.011
O: 0.232 0.768 0.193
O: 0.768 0.232 0.193
O: 0.268 0.268 0.693
O: 0.732 0.732 0.693
O: 0.791 0.209 0.796
O: 0.209 0.791 0.796
O: 0.709 0.709 0.296
O: 0.291 0.291 0.296